[1]
Compound: GdDyCuPt
Source: Alexandria
Functional: PBE-GGA
Structure: optimized geometry

Summary:
E_form: -0.742 eV/atom
Crystal system: cubic

Geometry as CIF:
```
data_GdDyCuPt
_chemical_formula_sum 'Gd4 Dy4 Cu4 Pt4'
_space_group_name_H-M_alt 'F -4 3 m'
_space_group_IT_number 216
_space_group_name_Hall 'F -4 2 3'
_cell_length_a 7.0014
_cell_length_b 7.0014
_cell_length_c 7.0014
_cell_angle_alpha 90.00
_cell_angle_beta 90.00
_cell_angle_gamma 90.00
loop_
_atom_site_label
_atom_site_fract_x
_atom_site_fract_y
_atom_site_fract_z
_atom_site_occupancy
Gd1 0.0000 0.0000 0.0000 1
Dy1 0.0000 0.0000 0.5000 1
Cu1 0.2500 0.2500 0.2500 1
Pt1 0.2500 0.2500 0.7500 1
```



[2]
Compound: Al2InSb
Source: Alexandria
Functional: PBE-GGA
Structure: optimized geometry

Summary:
Crystal system: orthorhombic
VASP energy: -0.2478 Ry/atom

Geometry as CIF:
```
data_Al2InSb
_chemical_formula_sum 'Al4 In2 Sb2'
_space_group_name_H-M_alt 'I m m m'
_space_group_IT_number 71
_space_group_name_Hall '-I 2 2'
_cell_length_a 3.9863
_cell_length_b 5.2104
_cell_length_c 8.7824
_cell_angle_alpha 90.00
_cell_angle_beta 90.00
_cell_angle_gamma 90.00
loop_
_atom_site_label
_atom_site_fract_x
_atom_site_fract_y
_atom_site_fract_z
_atom_site_occupancy
Al1 0.0000 0.0000 0.2476 1
In1 0.0000 0.5000 0.0000 1
Sb1 0.0000 0.5000 0.5000 1
```



[3]
Compound: CsTlF3
Source: Alexandria
Functional: PBE-GGA
Structure: optimized geometry

Summary:
Crystal system: trigonal
VASP energy: -0.2733 Ry/atom

Geometry as CIF:
```
data_CsTlF3
_chemical_formula_sum 'Cs3 Tl3 F9'
_space_group_name_H-M_alt 'R 3 m'
_space_group_IT_number 160
_space_group_name_Hall 'R 3 -2"'
_cell_length_a 8.1260
_cell_length_b 8.1260
_cell_length_c 8.7999
_cell_angle_alpha 90.00
_cell_angle_beta 90.00
_cell_angle_gamma 120.00
loop_
_atom_site_label
_atom_site_fract_x
_atom_site_fract_y
_atom_site_fract_z
_atom_site_occupancy
Cs1 0.0000 0.0000 0.0000 1
Tl1 0.0000 0.0000 0.4266 1
F1 0.2026 0.4052 0.9588 1
```



[4]
Compound: Tm4RuRh3
Source: Alexandria
Functional: PBE-GGA
Structure: optimized geometry

Summary:
E_form: -0.858 eV/atom
Crystal system: orthorhombic

Geometry as CIF:
```
data_Tm4RuRh3
_chemical_formula_sum 'Tm4 Ru1 Rh3'
_space_group_name_H-M_alt 'P m m m'
_space_group_IT_number 47
_space_group_name_Hall '-P 2 2'
_cell_length_a 3.3806
_cell_length_b 4.7614
_cell_length_c 9.5030
_cell_angle_alpha 90.00
_cell_angle_beta 90.00
_cell_angle_gamma 90.00
loop_
_atom_site_label
_atom_site_fract_x
_atom_site_fract_y
_atom_site_fract_z
_atom_site_occupancy
Tm1 0.0000 0.0000 0.0000 1
Tm2 0.0000 0.0000 0.5000 1
Tm3 0.0000 0.5000 0.2463 1
Ru1 0.5000 0.5000 0.0000 1
Rh1 0.5000 0.0000 0.2517 1
Rh2 0.5000 0.5000 0.5000 1
```



[5]
Compound: TbNdSm2
Source: Alexandria
Functional: PBE-GGA
Structure: optimized geometry

Summary:
E_form: 0.047 eV/atom
Crystal system: orthorhombic

Geometry as CIF:
```
data_TbNdSm2
_chemical_formula_sum 'Tb2 Nd2 Sm4'
_space_group_name_H-M_alt 'A m m 2'
_space_group_IT_number 38
_space_group_name_Hall 'A 2 -2'
_cell_length_a 5.6406
_cell_length_b 3.5738
_cell_length_c 13.4037
_cell_angle_alpha 90.00
_cell_angle_beta 90.00
_cell_angle_gamma 90.00
loop_
_atom_site_label
_atom_site_fract_x
_atom_site_fract_y
_atom_site_fract_z
_atom_site_occupancy
Tb1 0.0000 0.0000 0.0000 1
Nd1 0.5000 0.0000 0.3552 1
Sm1 0.0000 0.0000 0.7385 1
Sm2 0.5000 0.0000 0.6126 1
```



[6]
Compound: Y8ErTm6
Source: Alexandria
Functional: PBE-GGA
Structure: optimized geometry

Summary:
E_form: 0.255 eV/atom
Crystal system: trigonal

Geometry as CIF:
```
data_Y8ErTm6
_chemical_formula_sum 'Y8 Er1 Tm6'
_space_group_name_H-M_alt 'P -3'
_space_group_IT_number 147
_space_group_name_Hall '-P 3'
_cell_length_a 9.3087
_cell_length_b 9.3087
_cell_length_c 6.5638
_cell_angle_alpha 90.00
_cell_angle_beta 90.00
_cell_angle_gamma 120.00
loop_
_atom_site_label
_atom_site_fract_x
_atom_site_fract_y
_atom_site_fract_z
_atom_site_occupancy
Y1 0.0267 0.6902 0.3954 1
Y2 0.3333 0.6667 0.6842 1
Er1 0.0000 0.0000 0.0000 1
Tm1 0.0855 0.4077 0.0955 1
```



We obtain magnetization values of 7.1 0.0 1.0 0.0 0.0 0.0 μB/f.u. for the records listed above, in that order.